Record 1
## Al2TlVAs (PBE)

Data for a relaxed Al2TlVAs crystal.

Calculated values
Total magnetization: 0.36 μB per formula unit
Total DFT energy (no corrections): -22.4 eV per cell
N(E_F): 3.39 states/eV/f.u.
Space group: P4/mmm, No. 123

a b c (Å): 4.9639 4.7038 4.9639
angles (deg): 90.00 90.00 90.00
Closest atoms and distances in Å follow each position.
Fractional positions:
Al  0.5000  0.0000  0.0000  2 V 2.48
Al  0.0000  0.0000  0.5000  2 V 2.48
As  0.0000  0.5000  0.0000  2 V 2.35
Tl  0.5000  0.5000  0.5000  8 Al 3.42, 4 As 3.51
V  0.0000  0.0000  0.0000  2 As 2.35, 4 Al 2.48


Record 2
## Na4Zr3InSe8 (PBE)

Data for a relaxed Na4Zr3InSe8 crystal.

Calculated values
Total magnetization: 0.00 μB per formula unit
Total DFT energy (no corrections): -80.3 eV per cell
N(E_F): 8.81 states/eV/f.u.
Space group: R-3m, No. 166
Formation energy (no corrections): -1174 meV per atom

a b c (Å): 8.0408 8.3424 8.0408
angles (deg): 118.81 120.00 90.00
Closest atoms and distances in Å follow each position.
Fractional positions:
Se  0.7273  0.7213  0.9744  2 Zr 2.74-2.75, 1 In 2.86, 3 Na 2.95-3.06
Se  0.7529  0.2787  0.0256  2 Zr 2.74-2.75, 1 In 2.86, 3 Na 2.95-3.06
Se  0.2727  0.2787  0.0256  2 Zr 2.74-2.75, 1 In 2.86, 3 Na 2.95-3.06
Se  0.2470  0.7212  0.4941  2 Zr 2.74, 1 In 2.86, 3 Na 2.95-3.06
Se  0.2581  0.2746  0.5163  3 Zr 2.80, 3 Na 3.00
Se  0.7530  0.2788  0.5059  2 Zr 2.74, 1 In 2.86, 3 Na 2.95-3.06
Se  0.7419  0.7254  0.4837  3 Zr 2.80, 3 Na 3.00
Se  0.2471  0.7213  0.9744  2 Zr 2.74-2.75, 1 In 2.86, 3 Na 2.95-3.06
Na  0.5000  0.0000  0.5000  6 Se 3.00-3.06
Na  0.0000  0.0000  0.5000  6 Se 3.00-3.06
Na  0.0000  0.0000  0.0000  6 Se 3.00-3.06
Na  0.5000  0.0000  0.0000  6 Se 2.95
Zr  0.0000  0.5000  0.5000  6 Se 2.74-2.80
Zr  0.5000  0.5000  0.5000  6 Se 2.74-2.80
Zr  0.5000  0.5000  0.0000  6 Se 2.74-2.80
In  0.0000  0.5000  0.0000  6 Se 2.86


Record 3
## Ta2MnTe (PBE)

Data for a relaxed Ta2MnTe crystal.

Calculated values
Total magnetization: 2.34 μB per formula unit
Total DFT energy (no corrections): -35.1 eV per cell
N(E_F): 2.35 states/eV/f.u.
Space group: Pmmm, No. 47
Formation energy (no corrections): 218 meV per atom

a b c (Å): 3.5442 4.4503 4.4587
angles (deg): 90.00 90.00 90.00
Closest atoms and distances in Å follow each position.
Fractional positions:
Mn  0.0000  0.5000  0.5000  4 Te 2.84, 8 Ta 2.85-3.15
Ta  0.0000  0.0000  0.0000  4 Ta 2.84, 4 Te 2.85, 4 Mn 3.15
Ta  0.5000  0.5000  0.0000  4 Ta 2.84, 4 Mn 2.85, 4 Te 3.15
Te  0.5000  0.0000  0.5000  4 Mn 2.84, 8 Ta 2.85-3.15